# 1
Material: AlIO6
Method: DFT, GGA-PBE
State: optimized geometry

Cell: 5.242 5.242 5.242 Å, 57.51 57.51 57.51°
Sites, in units of the cell vectors:
Al (0.000, 0.000, 0.000)
I (0.500, 0.500, 0.500)
O (0.155, 0.748, 0.349)
O (0.252, 0.651, 0.845)
O (0.349, 0.155, 0.748)
O (0.651, 0.845, 0.252)
O (0.748, 0.349, 0.155)
O (0.845, 0.252, 0.651)

uncorrected formation energy	-0.6615	eV per atom
symmetry	R-3

---

# 2
Material: CoTeW2
Method: DFT, GGA-PBE
State: optimized geometry

Cell: 4.885 4.885 4.581 Å, 98.43 98.43 37.47°
Sites, in units of the cell vectors:
Co (0.000, 0.000, 0.000)
Te (0.500, 0.500, 0.500)
W (0.259, 0.259, 0.780)
W (0.741, 0.741, 0.220)

uncorrected formation energy	0.5491	eV per atom
symmetry	C2/m

---

# 3
Material: Ac4GaGeCl2
Method: DFT, GGA-PBE
State: optimized geometry

Cell: 7.521 4.639 8.070 Å, 90.00 111.04 90.00°
Sites, in units of the cell vectors:
Ac (0.236, 0.000, 0.246)
Ac (0.236, 0.500, 0.746)
Ac (0.764, 0.000, 0.754)
Ac (0.764, 0.500, 0.254)
Ga (0.000, 0.000, 0.500)
Ge (0.000, 0.500, 0.000)
Cl (0.500, 0.000, 0.000)
Cl (0.500, 0.500, 0.500)

uncorrected formation energy	-1.1164	eV per atom
symmetry	P2/m

---

# 4
Material: La2ZnPbC
Method: DFT, GGA-PBE
State: optimized geometry

Cell: 5.463 5.463 4.066 Å, 90.00 90.00 90.00°
Sites, in units of the cell vectors:
La (0.000, 0.500, 0.000)
La (0.500, 0.000, 0.000)
Zn (0.000, 0.000, 0.500)
Pb (0.500, 0.500, 0.500)
C (0.000, 0.000, 0.000)

calculated formation energy	-0.26	eV/atom
symmetry	P4/mmm

---

# 5
Material: LiMn2CuH
Method: DFT, GGA-PBE
State: optimized geometry

Cell: 3.757 3.757 3.798 Å, 90.00 90.00 90.00°
Sites, in units of the cell vectors:
Li (0.000, 0.000, 0.000)
Mn (0.000, 0.500, 0.500)
Mn (0.500, 0.000, 0.500)
Cu (0.500, 0.500, 0.000)
H (0.000, 0.000, 0.500)

symmetry	P4/mmm

---

no.,calculated total energy (eV/atom)
1,-5.0418
2,-8.4894
3,-4.5878
4,-5.0710
5,-5.4113